1.
A plane-wave DFT calculation with PBE-GGA was carried out for crystalline ReHgRu2 at its relaxed geometry.

Results
Crystal system: orthorhombic
Energy of formation (eV per atom): 0.850
SG: No. 47

abc: 2.8704 4.7985 4.6147
angles: 90.00 90.00 90.00
Atoms (fractional coordinates):
Hg 0.5000 0.0000 0.5000
Re 0.0000 0.5000 0.5000
Ru 0.0000 0.0000 0.0000
Ru 0.5000 0.5000 0.0000


2.
A plane-wave DFT calculation with PBE-GGA was carried out for crystalline Re2HgRu at its relaxed geometry.

Results
Crystal system: tetragonal
Energy of formation (eV per atom): 0.771
SG: No. 123

abc: 4.1626 3.8959 3.8959
angles: 90.00 90.00 90.00
Atoms (fractional coordinates):
Hg 0.5000 0.0000 0.5000
Re 0.0000 0.0000 0.0000
Re 0.0000 0.5000 0.5000
Ru 0.5000 0.5000 0.0000


3.
A plane-wave DFT calculation with PBE-GGA was carried out for crystalline Re2HgRu at its relaxed geometry.

Results
Crystal system: orthorhombic
Energy of formation (eV per atom): 0.673
SG: No. 65

abc: 2.7524 2.7524 9.6366
angles: 90.00 90.00 116.64
Atoms (fractional coordinates):
Hg 0.5000 0.5000 0.7500
Re 0.0000 0.0000 0.0212
Re 0.0000 0.0000 0.4788
Ru 0.5000 0.5000 0.2500


4.
A plane-wave DFT calculation with PBE-GGA was carried out for crystalline ReHgRu2 at its relaxed geometry.

Results
Crystal system: orthorhombic
Energy of formation (eV per atom): 0.584
SG: No. 65

abc: 4.7890 4.7890 2.8400
angles: 90.00 90.00 107.06
Atoms (fractional coordinates):
Hg 0.5000 0.0000 0.5000
Re 0.0000 0.5000 0.5000
Ru 0.0000 0.0000 0.0000
Ru 0.5000 0.5000 0.0000


5.
A plane-wave DFT calculation with PBE-GGA was carried out for crystalline ReHgRu2 at its relaxed geometry.

Results
Crystal system: tetragonal
Energy of formation (eV per atom): 0.619
SG: No. 119

abc: 4.9948 4.9948 4.9948
angles: 134.54 134.54 66.24
Atoms (fractional coordinates):
Hg 0.5000 0.5000 0.0000
Re 0.7500 0.2500 0.5000
Ru 0.0000 0.0000 0.0000
Ru 0.2500 0.7500 0.5000


6.
A plane-wave DFT calculation with PBE-GGA was carried out for crystalline ReHg2Ru at its relaxed geometry.

Results
Energy above the lowest structure with this stoichiometry (eV/atom): 0.6324
Crystal system: tetragonal
Energy of formation (eV per atom): 0.948
SG: No. 123

abc: 2.8436 2.8436 8.7353
angles: 90.00 90.00 90.00
Atoms (fractional coordinates):
Hg 0.0000 0.0000 0.9945
Hg 0.0000 0.0000 0.5055
Re 0.5000 0.5000 0.2500
Ru 0.5000 0.5000 0.7500


7.
A plane-wave DFT calculation with PBE-GGA was carried out for crystalline ReHg2Ru at its relaxed geometry.

Results
Energy above the lowest structure with this stoichiometry (eV/atom): 0.6964
Crystal system: tetragonal
Energy of formation (eV per atom): 1.012
SG: No. 123

abc: 4.9334 4.9334 2.8977
angles: 90.00 90.00 90.00
Atoms (fractional coordinates):
Hg 0.0000 0.0000 0.0000
Hg 0.5000 0.5000 0.0000
Re 0.5000 0.0000 0.5000
Ru 0.0000 0.5000 0.5000


8.
A plane-wave DFT calculation with PBE-GGA was carried out for crystalline Re2HgRu at its relaxed geometry.

Results
Crystal system: tetragonal
Energy of formation (eV per atom): 1.116
SG: No. 122

abc: 7.4363 7.4363 5.8760
angles: 50.75 50.75 90.00
Atoms (fractional coordinates):
Re 0.5695 0.1250 0.2500
Re 0.1805 0.6250 0.2500
Re 0.3750 0.4305 0.7500
Re 0.8750 0.8195 0.7500
Hg 0.0000 0.0000 0.0000
Hg 0.7500 0.2500 0.5000
Ru 0.5000 0.5000 0.0000
Ru 0.2500 0.7500 0.5000


9.
A plane-wave DFT calculation with PBE-GGA was carried out for crystalline Re2HgRu at its relaxed geometry.

Results
Crystal system: tetragonal
Energy of formation (eV per atom): 0.982
SG: No. 123

abc: 4.7554 4.7554 2.8385
angles: 90.00 90.00 90.00
Atoms (fractional coordinates):
Hg 0.0000 0.5000 0.5000
Re 0.0000 0.0000 0.0000
Re 0.5000 0.5000 0.0000
Ru 0.5000 0.0000 0.5000


10.
A plane-wave DFT calculation with PBE-GGA was carried out for crystalline Re2HgRu at its relaxed geometry.

Results
Crystal system: monoclinic
Energy of formation (eV per atom): 0.474
SG: No. 6

abc: 3.9305 2.8022 6.5038
angles: 64.91 90.00 90.00
Atoms (fractional coordinates):
Hg 0.5000 0.7542 0.7442
Re 0.0000 0.9984 0.0379
Re 0.5000 0.2145 0.2448
Ru 0.0000 0.5330 0.4730


11.
A plane-wave DFT calculation with PBE-GGA was carried out for crystalline ReHg2Ru at its relaxed geometry.

Results
Energy above the lowest structure with this stoichiometry (eV/atom): 0.6439
Crystal system: cubic
Energy of formation (eV per atom): 0.960
SG: No. 216

abc: 4.6331 4.6331 4.6331
angles: 60.00 60.00 60.00
Atoms (fractional coordinates):
Hg 0.0000 0.0000 0.0000
Hg 0.2500 0.2500 0.2500
Re 0.5000 0.5000 0.5000
Ru 0.7500 0.7500 0.7500


12.
A plane-wave DFT calculation with PBE-GGA was carried out for crystalline ReHgS3 at its relaxed geometry.

Results
Energy above the lowest structure with this stoichiometry (eV/atom): 0.0000
Crystal system: cubic
Raw formation energy (kJ/mol of atoms): 26
SG: No. 221

abc: 4.6816 4.6816 4.6816
angles: 90.00 90.00 90.00
Atoms (fractional coordinates):
Re 0.0000 0.0000 0.0000
S 0.0000 0.5000 0.0000
S 0.0000 0.0000 0.5000
S 0.5000 0.0000 0.0000
Hg 0.5000 0.5000 0.5000


Number 1: ρ 15.4 g cm⁻³. Number 2: ρ 17.7 g cm⁻³. Number 3: ρ 17.2 g cm⁻³. Number 4: ρ 15.7 g cm⁻³. Number 5: ρ 15.7 g cm⁻³. Number 6: ρ 16.2 g cm⁻³. Number 7: ρ 16.2 g cm⁻³. Number 8: ρ 15.4 g cm⁻³. Number 9: ρ 17.4 g cm⁻³. Number 10: ρ 17.3 g cm⁻³. Number 11: ρ 16.3 g cm⁻³. Number 12: ρ 7.8 g cm⁻³.